VASP calculation (PBE) on a relaxed structure of Cr2IrRh9.

Cell: 3.8190 3.8190 11.4700 Å, 90.00 90.00 90.00°
Space group P4/mmm (No. 123)
Unique sites:
1 Cr 0.0000 0.0000 0.1632 x2
2 Ir 0.0000 0.0000 0.5000 x1
3 Rh 0.0000 0.5000 0.0000 x2
4 Rh 0.0000 0.5000 0.3312 x4
5 Rh 0.5000 0.5000 0.1660 x2
6 Rh 0.5000 0.5000 0.5000 x1

Results
DOS at the Fermi energy in states/eV/f.u.: 14.78
Energy of formation from the pure elements in kJ per mole of atoms: -7.5
Calculated volume in Å³/cell: 167.3
Total moment in μB per atom: 0.2826



VASP calculation (PBE) on a relaxed structure of PmHf3P4N12.

Cell: 10.5902 10.5902 8.1753 Å, 90.00 90.00 120.00°
Space group R32 (No. 155, hexagonal axes)
Unique sites:
1 Pm 0.0000 0.0000 0.0000 x3
2 Hf 0.0000 0.5520 0.0000 x9
3 P 0.0000 0.0000 0.5000 x3
4 P 0.0000 0.4469 0.5000 x9
5 N 0.0000 0.5954 0.5000 x9
6 N 0.0000 0.8517 0.5000 x9
7 N 0.0306 0.2121 0.1830 x18

Results
DOS at the Fermi energy in states/eV/f.u.: 7.96
Calculated volume in Å³/cell: 794.0
Final energy in eV per atom: -8.62
Total moment in μB per atom: 0.0000